(1)
The following is a DFT calculation (GGA-PBE) of AcTb2Co after structural relaxation.

Cell lengths 3.5152, 3.5152, 9.1874 Å; angles 90.00, 90.00, 90.00 degrees
Last column: nearest neighbours and their distance in Å.
Fractional coordinates of all 4 atoms:
1 Tb 0.0000 0.0000 0.1732  4 Co 2.95, 1 Tb 3.18
2 Co 0.5000 0.5000 0.0000  8 Tb 2.95
3 Tb 0.0000 0.0000 0.8268  4 Co 2.95, 1 Tb 3.18
4 Ac 0.5000 0.5000 0.5000  4 Ac 3.52, 8 Tb 3.90

Size of the total moment = 0.182 μB/atom
Offset from the most stable computed form = 0.247 eV/f.u.
DFT formation energy = -6 meV per atom

=====

(2)
The following is a DFT calculation (GGA-PBE) of TbPd7Au3 after structural relaxation.

Cell lengths 7.0233, 5.6910, 5.6910 Å; angles 120.00, 90.00, 90.00 degrees
Last column: nearest neighbours and their distance in Å.
Fractional coordinates of all 11 atoms:
1 Au 0.7886 0.5013 0.0026  5 Pd 2.82-2.90, 4 Au 2.82-2.87, 1 Tb 3.03
2 Pd 0.1110 0.1616 0.3232  8 Pd 2.76-2.93, 1 Tb 2.79, 2 Au 2.82
3 Pd 0.1110 0.1616 0.8384  8 Pd 2.76-2.93, 1 Tb 2.79, 2 Au 2.82
4 Tb 0.4276 0.3333 0.6667  9 Pd 2.79-2.85, 3 Au 3.03
5 Au 0.7886 0.9974 0.4987  5 Pd 2.82-2.90, 4 Au 2.82-2.87, 1 Tb 3.03
6 Pd 0.4526 0.8350 0.1650  7 Pd 2.80-2.89, 2 Tb 2.85, 2 Au 2.88
7 Pd 0.1110 0.6768 0.8384  8 Pd 2.76-2.93, 1 Tb 2.79, 2 Au 2.82
8 Pd 0.4526 0.8350 0.6700  7 Pd 2.80-2.89, 2 Tb 2.85, 2 Au 2.88
9 Au 0.7886 0.5013 0.4987  5 Pd 2.82-2.90, 4 Au 2.82-2.87, 1 Tb 3.03
10 Pd 0.1307 0.6667 0.3333  9 Pd 2.80-2.85, 3 Au 2.90
11 Pd 0.4526 0.3300 0.1650  7 Pd 2.80-2.89, 2 Tb 2.85, 2 Au 2.88

Size of the total moment = 0.000 μB/atom
DFT formation energy = -264 meV per atom

=====

(3)
The following is a DFT calculation (GGA-PBE) of LiScBr4 after structural relaxation.

Cell lengths 3.8811, 6.8976, 6.8145 Å; angles 89.71, 90.00, 90.00 degrees
Last column: nearest neighbours and their distance in Å.
Fractional coordinates of all 6 atoms:
1 Sc 0.5000 0.0000 0.5000  6 Br 2.62-2.71
2 Br 0.0000 0.7738 0.6563  2 Sc 2.71, 1 Li 2.82
3 Li 0.0000 0.0000 0.0000  6 Br 2.72-2.82
4 Br 0.0000 0.2262 0.3437  2 Sc 2.71, 1 Li 2.82
5 Br 0.5000 0.2114 0.8180  1 Sc 2.62, 2 Li 2.72
6 Br 0.5000 0.7886 0.1820  1 Sc 2.62, 2 Li 2.72

Size of the total moment = 0.000 μB/atom
Energy relative to the elements, uncorrected = -1643 meV per atom
Offset from the most stable computed form = 0.000 eV/f.u.